Ca2LaGaCu2O7 after structural relaxation, computed with PBE-GGA.

excess energy over the best structure of this formula in the dataset	0.0054	eV/atom
space-group type	No. 46
M_tot	0.000	μB/cell
electronic total energy	-6.327	eV per atom
formation energy from raw total energies	-2.108	eV/atom

The structure in CIF format:
```
data_Ca2LaGaCu2O7
_cell_length_a 11.828
_cell_length_b 11.828
_cell_length_c 11.828
_cell_angle_alpha 153.36
_cell_angle_beta 152.53
_cell_angle_gamma 38.64
_space_group_name_H-M_alt 'P 1'
_space_group_IT_number 1
loop_
_space_group_symop_operation_xyz
'x,y,z'
loop_
_atom_site_label
_atom_site_fract_x
_atom_site_fract_y
_atom_site_fract_z
O1 0.314 0.835 0.008
O2 0.134 0.150 0.783
Ga1 0.178 0.798 0.476
O3 0.250 0.635 0.525
Ca1 0.804 0.879 0.992
Cu1 0.415 0.930 0.508
O4 0.750 0.275 0.384
O5 0.609 0.135 0.384
Ga2 0.822 0.298 0.619
Cu2 0.585 0.093 0.515
Ca2 0.386 0.379 0.075
O6 0.686 0.695 0.521
O7 0.170 0.180 0.498
Cu3 0.078 0.593 0.508
La1 0.500 0.510 0.010
Ca3 0.614 0.689 0.992
Ca4 0.196 0.189 0.075
La2 0.000 0.010 0.010
O8 0.830 0.329 0.011
Cu4 0.922 0.430 0.515
O9 0.391 0.775 0.525
O10 0.327 0.335 0.521
O11 0.818 0.829 0.498
O12 0.673 0.195 0.008
O13 0.866 0.650 0.016
O14 0.182 0.680 0.011
```


CaLaGaCuO5 after structural relaxation, computed with PBE-GGA.

space-group type	No. 8
M_tot	0.000	μB/cell
electronic total energy	-6.581	eV per atom
formation energy from raw total energies	-2.265	eV/atom

The structure in CIF format:
```
data_CaLaGaCuO5
_cell_length_a 8.940
_cell_length_b 8.940
_cell_length_c 5.342
_cell_angle_alpha 72.59
_cell_angle_beta 72.59
_cell_angle_gamma 128.69
_space_group_name_H-M_alt 'P 1'
_space_group_IT_number 1
loop_
_space_group_symop_operation_xyz
'x,y,z'
loop_
_atom_site_label
_atom_site_fract_x
_atom_site_fract_y
_atom_site_fract_z
Ca1 0.863 0.583 0.043
La1 0.421 0.127 0.987
Cu1 0.000 0.502 0.507
Ga1 0.812 0.812 0.476
O1 0.244 0.762 0.005
Ca2 0.583 0.863 0.043
Ga2 0.186 0.186 0.596
O2 0.762 0.244 0.005
O3 0.871 0.871 0.770
O4 0.578 0.776 0.521
O5 0.755 0.235 0.517
La2 0.127 0.421 0.987
O6 0.235 0.755 0.517
Cu2 0.502 0.000 0.507
O7 0.427 0.228 0.378
O8 0.228 0.427 0.378
O9 0.130 0.130 0.012
O10 0.776 0.578 0.521
```


Ca2LaGaCu2O7 after structural relaxation, computed with PBE-GGA.

excess energy over the best structure of this formula in the dataset	0.0000	eV/atom
space-group type	No. 1
M_tot	0.000	μB/cell
electronic total energy	-6.333	eV per atom
formation energy from raw total energies	-2.113	eV/atom

The structure in CIF format:
```
data_Ca2LaGaCu2O7
_cell_length_a 5.419
_cell_length_b 5.578
_cell_length_c 11.840
_cell_angle_alpha 102.66
_cell_angle_beta 102.85
_cell_angle_gamma 89.94
_space_group_name_H-M_alt 'P 1'
_space_group_IT_number 1
loop_
_space_group_symop_operation_xyz
'x,y,z'
loop_
_atom_site_label
_atom_site_fract_x
_atom_site_fract_y
_atom_site_fract_z
Ga1 0.775 0.176 0.496
O1 0.194 0.658 0.864
O2 0.645 0.206 0.862
La1 0.996 0.005 0.002
Ca1 0.167 0.192 0.304
O3 0.769 0.381 0.640
O4 0.116 0.607 0.357
Cu1 0.575 0.081 0.158
Cu2 0.077 0.585 0.157
La2 0.353 0.370 0.703
O5 0.824 0.317 0.141
O6 0.614 0.253 0.358
O7 0.319 0.329 0.133
Cu3 0.416 0.928 0.849
O8 0.314 0.839 0.153
Ca2 0.509 0.519 0.013
O9 0.265 0.746 0.639
O10 0.633 0.863 0.499
O11 0.813 0.821 0.147
Ca3 0.859 0.805 0.691
O12 0.131 0.128 0.497
O13 0.134 0.144 0.833
O14 0.687 0.696 0.856
Ga2 0.280 0.811 0.495
Ca4 0.667 0.616 0.302
Cu4 0.918 0.422 0.851
```


Number 2 is which compound?
CaLaGaCuO5


Please write out number 1 again, unchanged.
Ca2LaGaCu2O7 after structural relaxation, computed with PBE-GGA.

excess energy over the best structure of this formula in the dataset	0.0054	eV/atom
space-group type	No. 46
M_tot	0.000	μB/cell
electronic total energy	-6.327	eV per atom
formation energy from raw total energies	-2.108	eV/atom

The structure in CIF format:
```
data_Ca2LaGaCu2O7
_cell_length_a 11.828
_cell_length_b 11.828
_cell_length_c 11.828
_cell_angle_alpha 153.36
_cell_angle_beta 152.53
_cell_angle_gamma 38.64
_space_group_name_H-M_alt 'P 1'
_space_group_IT_number 1
loop_
_space_group_symop_operation_xyz
'x,y,z'
loop_
_atom_site_label
_atom_site_fract_x
_atom_site_fract_y
_atom_site_fract_z
O1 0.314 0.835 0.008
O2 0.134 0.150 0.783
Ga1 0.178 0.798 0.476
O3 0.250 0.635 0.525
Ca1 0.804 0.879 0.992
Cu1 0.415 0.930 0.508
O4 0.750 0.275 0.384
O5 0.609 0.135 0.384
Ga2 0.822 0.298 0.619
Cu2 0.585 0.093 0.515
Ca2 0.386 0.379 0.075
O6 0.686 0.695 0.521
O7 0.170 0.180 0.498
Cu3 0.078 0.593 0.508
La1 0.500 0.510 0.010
Ca3 0.614 0.689 0.992
Ca4 0.196 0.189 0.075
La2 0.000 0.010 0.010
O8 0.830 0.329 0.011
Cu4 0.922 0.430 0.515
O9 0.391 0.775 0.525
O10 0.327 0.335 0.521
O11 0.818 0.829 0.498
O12 0.673 0.195 0.008
O13 0.866 0.650 0.016
O14 0.182 0.680 0.011
```


What is the electronic total energy in the first record?
-6.327 eV per atom


electronic total energy of number 1 (Ca2LaGaCu2O7)?
-6.327 eV per atom